Arrangement w

The following is a DFT calculation (PBE-GGA) of Pm2Ta2O5 after structural relaxation.

Cell: 4.0467 4.0467 7.1359 Å, 90.00 90.00 90.00°
Atoms (fractional coordinates):
Pm  0.0000  0.0000  0.0000
Pm  0.0000  0.0000  0.5000
Ta  0.5000  0.5000  0.1978
Ta  0.5000  0.5000  0.8022
O  0.0000  0.5000  0.2479
O  0.0000  0.5000  0.7521
O  0.5000  0.0000  0.2479
O  0.5000  0.0000  0.7521
O  0.5000  0.5000  0.5000

The value obtained for the total magnetization is 0.0 μB per cell.

Arrangement x

The following is a DFT calculation (PBE-GGA) of Pm2Ta2O5 after structural relaxation.

Cell: 3.4913 3.4913 10.3025 Å, 90.00 90.00 90.00°
Atoms (fractional coordinates):
Pm  0.0000  0.0000  0.2352
Pm  0.0000  0.0000  0.7648
Ta  0.5000  0.5000  0.0000
Ta  0.5000  0.5000  0.5000
O  0.0000  0.0000  0.0000
O  0.0000  0.5000  0.3846
O  0.0000  0.5000  0.6154
O  0.5000  0.0000  0.3846
O  0.5000  0.0000  0.6154

The value obtained for the total magnetization is 0.0 μB per cell.

Result of the stability comparison: arrangement w is the most stable of them.

Arrangement w

The following is a DFT calculation (PBE-GGA) of Tb2Pm2O5 after structural relaxation.

Cell: 4.3930 4.3930 7.4665 Å, 90.00 90.00 90.00°
Atoms (fractional coordinates):
Tb  0.0000  0.0000  0.2221
Tb  0.0000  0.0000  0.7779
Pm  0.5000  0.5000  0.0000
Pm  0.5000  0.5000  0.5000
O  0.0000  0.0000  0.5000
O  0.0000  0.5000  0.2173
O  0.0000  0.5000  0.7827
O  0.5000  0.0000  0.2173
O  0.5000  0.0000  0.7827

The value obtained for the total magnetization is 1.4 μB per cell.

Arrangement x

The following is a DFT calculation (PBE-GGA) of Tb2Pm2O5 after structural relaxation.

Cell: 4.0995 4.0995 8.9104 Å, 90.00 90.00 90.00°
Atoms (fractional coordinates):
Tb  0.0000  0.0000  0.0000
Tb  0.0000  0.0000  0.5000
Pm  0.5000  0.5000  0.2418
Pm  0.5000  0.5000  0.7582
O  0.0000  0.5000  0.1439
O  0.0000  0.5000  0.8561
O  0.5000  0.0000  0.1439
O  0.5000  0.0000  0.8561
O  0.5000  0.5000  0.5000

The value obtained for the total magnetization is 1.5 μB per cell.

Result of the stability comparison: arrangement x is the most stable of them.